# CsCrMo2O8

A geometry-optimized CsCrMo2O8 structure (PBE+U, Alexandria via LeMat-Bulk).

Geometry as CIF:
```
data_CsCrMo2O8
_chemical_formula_sum 'Cs3 Cr3 Mo6 O24'
_space_group_name_H-M_alt 'R -3'
_space_group_IT_number 148
_space_group_name_Hall '-R 3'
_cell_length_a 5.4300
_cell_length_b 5.4300
_cell_length_c 27.0515
_cell_angle_alpha 90.00
_cell_angle_beta 90.00
_cell_angle_gamma 120.00
loop_
_atom_site_label
_atom_site_type_symbol
_atom_site_fract_x
_atom_site_fract_y
_atom_site_fract_z
Cs1 Cs 0.0000 0.0000 0.0000
Cr1 Cr 0.0000 0.0000 0.5000
Mo1 Mo 0.0000 0.0000 0.2295
O1 O 0.0000 0.0000 0.2947
O2 O 0.0111 0.6160 0.1236
```

ρ ... 3.64 Mg/m³
Total energy ... -6.97 eV per atom